<1>
Computed, not measured: a geometry-optimized LaYAl structure at the GGA-PBEsol level of DFT.

Cell lengths 3.461, 4.397, 10.456 Å; angles 90.00, 90.00, 90.00 degrees
Space group Imm2 (No. 44)
Unique sites:
1 La 0.000 0.000 0.000 x2
2 Y 0.000 0.000 0.706 x2
3 Al 0.000 0.000 0.338 x2

ρ ... 5.32 g cm⁻³


<2>
Computed, not measured: a geometry-optimized LaYAl structure at the GGA-PBEsol level of DFT.

Cell lengths 3.5663, 3.5663, 7.8202 Å; angles 90.00, 90.00, 120.00 degrees
Space group P3m1 (No. 156)
Unique sites:
1 La 0.0000 0.0000 0.0000 x1
2 Y 0.3333 0.6667 0.5919 x1
3 Al 0.6667 0.3333 0.3063 x1

ρ ... 4.91 g cm⁻³


Name the most stable of them. <1>.


<1>
Computed, not measured: a geometry-optimized LaZrAl2 structure at the GGA-PBEsol level of DFT.

Cell lengths 10.031, 3.341, 5.734 Å; angles 90.00, 103.56, 90.00 degrees
Space group C2/m (No. 12)
Unique sites:
1 La 0.000 0.000 0.000 x2
2 Zr 0.000 0.500 0.500 x2
3 Al 0.238 0.000 0.682 x4

ρ ... 5.05 g cm⁻³


<2>
Computed, not measured: a geometry-optimized LaZrAl2 structure at the GGA-PBEsol level of DFT.

Cell lengths 4.587, 4.587, 8.325 Å; angles 90.00, 90.00, 90.00 degrees
Space group I4/mmm (No. 139)
Unique sites:
1 La 0.000 0.000 0.000 x2
2 Zr 0.000 0.000 0.500 x2
3 Al 0.000 0.500 0.250 x4

ρ ... 5.39 g cm⁻³


<3>
Computed, not measured: a geometry-optimized LaZrAl2 structure at the GGA-PBEsol level of DFT.

Cell lengths 3.155, 4.158, 6.756 Å; angles 90.00, 90.00, 90.00 degrees
Space group Pmmm (No. 47)
Unique sites:
1 La 0.000 0.000 0.000 x1
2 Zr 0.000 0.000 0.500 x1
3 Al 0.500 0.500 0.296 x2

ρ ... 5.32 g cm⁻³


Name the most stable of them. <3>.


<1>
Computed, not measured: a geometry-optimized LiMgAl structure at the GGA-PBEsol level of DFT.

Cell lengths 2.965, 2.965, 12.444 Å; angles 90.00, 90.00, 90.00 degrees
Space group I4mm (No. 107)
Unique sites:
1 Li 0.000 0.000 0.000 x2
2 Mg 0.000 0.000 0.682 x2
3 Al 0.000 0.000 0.350 x2

ρ ... 1.77 g cm⁻³


<2>
Computed, not measured: a geometry-optimized LiMgAl structure at the GGA-PBEsol level of DFT.

Cell lengths 6.498, 6.498, 6.498 Å; angles 90.00, 90.00, 90.00 degrees
Space group F-43m (No. 216)
Unique sites:
1 Li 0.000 0.000 0.000 x4
2 Mg 0.250 0.250 0.750 x4
3 Al 0.000 0.000 0.500 x4

ρ ... 1.41 g cm⁻³


Name the most stable of them. <1>.


<1>
Computed, not measured: a geometry-optimized LiAl3Ni structure at the GGA-PBEsol level of DFT.

Cell lengths 4.464, 4.464, 4.464 Å; angles 90.00, 90.00, 90.00 degrees
Space group Pm-3m (No. 221)
Unique sites:
1 Li 0.000 0.000 0.000 x1
2 Al 0.000 0.500 0.500 x3
3 Ni 0.500 0.500 0.500 x1

ρ ... 2.74 g cm⁻³


<2>
Computed, not measured: a geometry-optimized LiAl3Ni structure at the GGA-PBEsol level of DFT.

Cell lengths 4.221, 4.221, 4.221 Å; angles 90.00, 90.00, 90.00 degrees
Space group Pm-3m (No. 221)
Unique sites:
1 Li 0.000 0.000 0.000 x1
2 Al 0.000 0.000 0.500 x3
3 Ni 0.500 0.500 0.500 x1

ρ ... 3.24 g cm⁻³


Name the most stable of them. <1>.